Here is an optimized crystal structure of ZrVCoO2 from the Alexandria database. Energies are from GGA+U.

Summary:
- Calculated total energy: -5.684 eV/atom
- Space group: No. 123
- M_tot: 2.91 μB/f.u.

abc: 3.8898 3.8898 4.5594
angles: 90.00 90.00 90.00
With the nearest neighbours (Å) after each atom.
Element x y z (fractional)
1 Zr 0.0000 0.0000 0.0000  2 Co 2.28
2 V 0.5000 0.5000 0.0000  4 Zr 2.75, 8 O 3.00
3 Co 0.0000 0.0000 0.5000  4 O 1.94
4 O 0.0000 0.5000 0.5000  2 Co 1.94
5 O 0.5000 0.0000 0.5000  2 Co 1.94